Density functional theory data (PBE) for a geometry-optimized TiBeN2 structure.

Unit cell a=5.3159 b=5.3159 c=5.3159 alpha=132.55 beta=132.55 gamma=69.36
With the nearest neighbours (Å) after each atom.
Sites, in units of the cell vectors:
Ti 0.0000 0.0000 0.0000  4 N 1.93
Ti 0.7500 0.2500 0.5000  4 N 1.93
Be 0.2500 0.7500 0.5000  4 N 1.81
Be 0.5000 0.5000 0.0000  4 N 1.81
N 0.1492 0.6250 0.0242  2 Be 1.81, 2 Ti 1.93
N 0.3750 0.3992 0.5242  2 Be 1.81, 2 Ti 1.93
N 0.6008 0.1250 0.9758  2 Be 1.81, 2 Ti 1.93
N 0.8750 0.8508 0.4758  2 Be 1.81, 2 Ti 1.93

Calculated values
**E_form (uncorrected)**: -111.3 kJ/mol of atoms
**Space group**: No. 122
**Magnetization**: 0.0000 μB per atom
**Crystal system**: tetragonal